Density functional theory data (PBE) for crystalline RbSb2Pd2 at its relaxed geometry.

Cell and atoms, written as POSCAR:
```
RbSb2Pd2
1.0
8.673 0.000 0.000
0.000 8.673 0.000
0.000 0.000 3.196
Sb Rb Pd
4 2 4
direct
0.144 0.644 0.500
0.644 0.856 0.500
0.856 0.356 0.500
0.356 0.144 0.500
0.000 0.000 0.000
0.500 0.500 0.000
0.375 0.875 0.000
0.875 0.625 0.000
0.625 0.125 0.000
0.125 0.375 0.000
```

Calculated values
Space-group type: No. 127



Density functional theory data (PBE) for crystalline RbSb2Pd at its relaxed geometry.

Cell and atoms, written as POSCAR:
```
RbSb2Pd
1.0
-3.615 -0.522 -2.271
-3.207 -2.391 1.581
-5.916 6.597 3.828
Sb Rb Pd
2 1 1
direct
0.127 0.127 0.619
0.873 0.873 0.381
0.000 0.000 0.000
0.500 0.500 0.500
```

Calculated values
Energy above the most stable polymorph in this dataset in eV/atom: 0.1776
Space-group type: No. 166



Density functional theory data (PBE) for crystalline RbSbPd at its relaxed geometry.

Cell and atoms, written as POSCAR:
```
RbSbPd
1.0
5.755 0.000 0.000
0.000 4.514 0.000
0.000 -2.257 3.909
Sb Rb Pd
1 1 1
direct
0.167 0.333 0.667
0.667 0.667 0.333
0.166 0.000 0.000
```

Calculated values
Energy above the most stable polymorph in this dataset in eV/atom: 0.1307
Space-group type: No. 187



Density functional theory data (PBE) for crystalline Rb2Sb2Pd at its relaxed geometry.

Cell and atoms, written as POSCAR:
```
Rb2Sb2Pd
1.0
-0.885 -3.914 2.213
0.700 -5.427 -4.573
5.800 -4.140 -0.257
Rb Sb Pd
2 2 1
direct
0.195 0.305 0.305
0.805 0.695 0.695
0.500 0.213 0.787
0.500 0.787 0.213
0.000 0.000 0.000
```

Calculated values
Space-group type: No. 71



Density functional theory data (PBE) for crystalline RbSbPd2 at its relaxed geometry.

Cell and atoms, written as POSCAR:
```
RbSbPd2
1.0
-0.129 2.182 4.073
-0.685 -2.403 3.889
5.883 -0.845 3.262
Sb Rb Pd
1 1 2
direct
0.500 0.500 0.500
0.000 0.000 0.000
0.812 0.812 0.563
0.188 0.188 0.437
```

Calculated values
Space-group type: No. 166



Density functional theory data (PBE) for crystalline Rb2Sb2Pd at its relaxed geometry.

Cell and atoms, written as POSCAR:
```
Rb2Sb2Pd
1.0
4.832 0.000 0.000
2.416 6.634 -0.506
2.416 -0.521 11.131
Rb Sb Pd
4 4 2
direct
0.630 0.409 0.332
0.910 0.285 0.895
0.370 0.591 0.668
0.090 0.715 0.105
0.154 0.116 0.576
0.619 0.877 0.884
0.846 0.884 0.424
0.381 0.123 0.116
0.669 0.000 0.663
0.331 0.000 0.337
```

Calculated values
Space-group type: No. 12



Density functional theory data (PBE) for crystalline Rb2SbPd2 at its relaxed geometry.

Cell and atoms, written as POSCAR:
```
Rb2SbPd2
1.0
-4.170 -2.068 -0.267
-0.492 -4.437 1.344
-3.811 1.097 10.316
Rb Sb Pd
2 1 2
direct
0.423 0.423 0.731
0.577 0.577 0.269
0.000 0.000 0.000
0.680 0.680 0.960
0.320 0.320 0.040
```

Calculated values
Energy above the most stable polymorph in this dataset in eV/atom: 0.0000
Space-group type: No. 166



Density functional theory data (PBE) for crystalline RbSbPd2 at its relaxed geometry.

Cell and atoms, written as POSCAR:
```
RbSbPd2
1.0
6.982 -0.005 -0.006
0.005 6.390 -0.739
0.005 2.548 5.906
Rb Sb Pd
2 2 4
direct
0.518 0.881 0.345
0.018 0.559 0.022
0.268 0.110 0.793
0.768 0.110 0.793
0.018 0.088 0.503
0.018 0.043 0.108
0.518 0.401 0.815
0.518 0.796 0.861
```

Calculated values
Space-group type: No. 40



Density functional theory data (PBE) for crystalline RbSbPd2 at its relaxed geometry.

Cell and atoms, written as POSCAR:
```
RbSbPd2
1.0
4.584 0.000 0.000
0.000 6.665 0.000
0.000 0.000 7.560
Rb Sb Pd
2 2 4
direct
0.500 0.890 0.000
0.000 0.110 0.500
0.500 0.593 0.500
0.000 0.407 0.000
0.000 0.596 0.686
0.500 0.404 0.814
0.000 0.596 0.314
0.500 0.404 0.186
```

Calculated values
Space-group type: No. 59



Density functional theory data (PBE) for crystalline Rb2Sb2Pd at its relaxed geometry.

Cell and atoms, written as POSCAR:
```
Rb2Sb2Pd
1.0
7.174 0.000 0.000
0.000 7.174 0.000
0.000 0.000 6.150
Sb Rb Pd
4 4 2
direct
0.354 0.854 0.000
0.854 0.646 0.000
0.646 0.146 0.000
0.146 0.354 0.000
0.171 0.671 0.500
0.671 0.829 0.500
0.829 0.329 0.500
0.329 0.171 0.500
0.000 0.000 0.000
0.500 0.500 0.000
```

Calculated values
Space-group type: No. 127



Density functional theory data (PBE) for crystalline RbSbPd at its relaxed geometry.

Cell and atoms, written as POSCAR:
```
RbSbPd
1.0
-3.481 -0.097 -3.789
5.909 -4.776 -5.307
-1.607 -7.217 1.661
Rb Pd Sb
4 4 4
direct
0.250 0.364 0.624
0.250 0.864 0.124
0.750 0.636 0.376
0.750 0.136 0.876
0.250 0.664 0.808
0.250 0.164 0.308
0.750 0.336 0.192
0.750 0.836 0.692
0.250 0.952 0.635
0.250 0.452 0.135
0.750 0.048 0.365
0.750 0.548 0.865
```

Calculated values
Energy above the most stable polymorph in this dataset in eV/atom: 0.0351
Space-group type: No. 11



Density functional theory data (PBE) for crystalline RbSb2Pd3 at its relaxed geometry.

Cell and atoms, written as POSCAR:
```
RbSb2Pd3
1.0
4.313 0.000 0.000
-2.157 8.426 0.253
0.000 -3.538 8.057
Rb Sb Pd
2 4 6
direct
0.842 0.684 0.942
0.158 0.316 0.058
0.476 0.952 0.801
0.524 0.048 0.199
0.819 0.637 0.356
0.181 0.363 0.644
0.318 0.636 0.556
0.959 0.918 0.619
0.581 0.163 0.641
0.419 0.837 0.359
0.041 0.082 0.381
0.682 0.364 0.444
```

Calculated values
Energy above the most stable polymorph in this dataset in eV/atom: 0.0000
Space-group type: No. 12



Formation energy without anion corrections
In order: -0.2663 -0.2200 -0.3154 -0.4112 -0.4040 -0.3897 -0.3418 -0.0695 -0.4525 -0.3431 -0.4110 -0.4270
Unit: eV/atom
DOS(E_F)
In order: 2.91 1.95 3.83 4.04 2.64 1.91 3.71 1.83 1.33 2.21 0.43 3.11
Unit: states/eV/f.u.